1.
La3Dy6YTh2 after structural relaxation, computed with PBE.

Cell: 6.2404 6.2404 11.8646 Å, 95.04 95.04 119.98°
Fractional positions:
La 0.0000 0.0000 0.0000
La 0.3340 0.6660 0.0000
La 0.6660 0.3340 0.0000
Dy 0.0810 0.4188 0.2564
Dy 0.2433 0.2433 0.7436
Dy 0.4188 0.0810 0.2564
Dy 0.5812 0.9190 0.7436
Dy 0.7567 0.7567 0.2564
Dy 0.9190 0.5812 0.7436
Y 0.5000 0.5000 0.5000
Th 0.1666 0.8334 0.5000
Th 0.8334 0.1666 0.5000

- E_form (eV/atom) = 0.02
- ρ (g/cm³) = 8.20
- Fermi-level density of states (states/eV per atom) = 1.322
- magnetization (μB per cell) = 0.00

=====

2.
LaDyYTh2 after structural relaxation, computed with PBE.

Cell: 8.6153 8.6153 6.7090 Å, 90.00 90.00 134.40°
Fractional positions:
La 0.1488 0.8512 0.7500
La 0.8512 0.1488 0.2500
Dy 0.2910 0.7090 0.2500
Dy 0.7090 0.2910 0.7500
Y 0.3467 0.6533 0.7500
Y 0.6533 0.3467 0.2500
Th 0.2561 0.2561 0.0000
Th 0.2561 0.2561 0.5000
Th 0.7439 0.7439 0.0000
Th 0.7439 0.7439 0.5000

- E_form (eV/atom) = 0.41
- ρ (g/cm³) = 7.98
- Fermi-level density of states (states/eV per atom) = 1.446
- magnetization (μB per cell) = 0.00

=====

3.
La2Dy2Y6Th after structural relaxation, computed with PBE.

Cell: 6.1132 6.1132 11.2114 Å, 92.34 92.34 115.76°
Fractional positions:
La 0.1576 0.8424 0.0000
La 0.8424 0.1576 0.0000
Dy 0.2154 0.7846 0.5000
Dy 0.7846 0.2154 0.5000
Y 0.1191 0.4519 0.7534
Y 0.2530 0.2530 0.3008
Y 0.4519 0.1191 0.7534
Y 0.5481 0.8809 0.2466
Y 0.7470 0.7470 0.6992
Y 0.8809 0.5481 0.2466
Th 0.5000 0.5000 0.0000

- E_form (eV/atom) = 0.18
- ρ (g/cm³) = 6.04
- Fermi-level density of states (states/eV per atom) = 1.437
- magnetization (μB per cell) = 0.00

=====

4.
LaDyYTh after structural relaxation, computed with PBE.

Cell: 8.1130 8.1130 8.1130 Å, 90.00 90.00 90.00°
Fractional positions:
La 0.0000 0.0000 0.0000
La 0.0000 0.5000 0.5000
La 0.5000 0.0000 0.5000
La 0.5000 0.5000 0.0000
Dy 0.2500 0.2500 0.7500
Dy 0.2500 0.7500 0.2500
Dy 0.7500 0.2500 0.2500
Dy 0.7500 0.7500 0.7500
Y 0.2500 0.2500 0.2500
Y 0.2500 0.7500 0.7500
Y 0.7500 0.2500 0.7500
Y 0.7500 0.7500 0.2500
Th 0.0000 0.0000 0.5000
Th 0.0000 0.5000 0.0000
Th 0.5000 0.0000 0.0000
Th 0.5000 0.5000 0.5000

- E_form (eV/atom) = 0.12
- ρ (g/cm³) = 7.74
- Fermi-level density of states (states/eV per atom) = 1.822
- magnetization (μB per cell) = 0.00
- E above lowest polymorph (eV per formula unit) = 0.42

=====

5.
LaDyYTh after structural relaxation, computed with PBE.

Cell: 3.6184 3.6184 10.1564 Å, 90.00 90.00 90.00°
Fractional positions:
La 0.0000 0.0000 0.0000
Dy 0.5000 0.5000 0.2612
Y 0.5000 0.5000 0.7355
Th 0.0000 0.0000 0.4971

- E_form (eV/atom) = 0.02
- ρ (g/cm³) = 7.77
- Fermi-level density of states (states/eV per atom) = 1.125
- magnetization (μB per cell) = 0.00
- E above lowest polymorph (eV per formula unit) = 0.00

=====

6.
La2Dy3Y6Th after structural relaxation, computed with PBE.

Cell: 6.2421 6.2421 11.8330 Å, 95.04 95.04 119.96°
Fractional positions:
La 0.1666 0.8334 0.0000
La 0.8334 0.1666 0.0000
Dy 0.0000 0.0000 0.5000
Dy 0.3332 0.6668 0.5000
Dy 0.6668 0.3332 0.5000
Y 0.0866 0.4156 0.7481
Y 0.2556 0.2556 0.2518
Y 0.4156 0.0866 0.7481
Y 0.5844 0.9134 0.2519
Y 0.7444 0.7444 0.7482
Y 0.9134 0.5844 0.2519
Th 0.5000 0.5000 0.0000

- E_form (eV/atom) = 0.03
- ρ (g/cm³) = 6.46
- Fermi-level density of states (states/eV per atom) = 1.479
- magnetization (μB per cell) = 0.00

=====

7.
LaDyThZn after structural relaxation, computed with PBE.

Cell: 3.6230 3.6230 8.6967 Å, 90.00 90.00 90.00°
Fractional positions:
La 0.0000 0.0000 0.0000
Dy 0.0000 0.0000 0.4337
Th 0.5000 0.5000 0.7099
Zn 0.5000 0.5000 0.2361

- E_form (eV/atom) = -0.15
- ρ (g/cm³) = 8.71
- Fermi-level density of states (states/eV per atom) = 1.251
- magnetization (μB per cell) = 0.00

=====

8.
LaDy2Ti after structural relaxation, computed with PBE.

Cell: 7.7563 7.7563 7.7563 Å, 90.00 90.00 90.00°
Fractional positions:
La 0.0000 0.0000 0.0000
La 0.0000 0.5000 0.5000
La 0.5000 0.0000 0.5000
La 0.5000 0.5000 0.0000
Dy 0.2500 0.2500 0.2500
Dy 0.2500 0.2500 0.7500
Dy 0.2500 0.7500 0.2500
Dy 0.2500 0.7500 0.7500
Dy 0.7500 0.2500 0.2500
Dy 0.7500 0.2500 0.7500
Dy 0.7500 0.7500 0.2500
Dy 0.7500 0.7500 0.7500
Ti 0.0000 0.0000 0.5000
Ti 0.0000 0.5000 0.0000
Ti 0.5000 0.0000 0.0000
Ti 0.5000 0.5000 0.5000

- E_form (eV/atom) = 0.31
- ρ (g/cm³) = 7.28
- Fermi-level density of states (states/eV per atom) = 1.838
- magnetization (μB per cell) = 11.65
- E above lowest polymorph (eV per formula unit) = 0.58

=====

9.
LaDy2Ti after structural relaxation, computed with PBE.

Cell: 3.4024 3.4024 9.9986 Å, 90.00 90.00 90.00°
Fractional positions:
La 0.0000 0.0000 0.0000
Dy 0.5000 0.5000 0.2928
Dy 0.5000 0.5000 0.7072
Ti 0.0000 0.0000 0.5000

- E_form (eV/atom) = 0.16
- ρ (g/cm³) = 7.34
- Fermi-level density of states (states/eV per atom) = 1.466
- magnetization (μB per cell) = 0.00
- E above lowest polymorph (eV per formula unit) = 0.00

=====

10.
LaDyTl4 after structural relaxation, computed with PBE.

Cell: 6.2687 6.2687 6.2687 Å, 60.00 60.00 60.00°
Fractional positions:
La 0.0000 0.0000 0.0000
Dy 0.2500 0.2500 0.2500
Tl 0.1253 0.6249 0.6249
Tl 0.6249 0.1253 0.6249
Tl 0.6249 0.6249 0.1253
Tl 0.6249 0.6249 0.6249

- E_form (eV/atom) = -0.12
- ρ (g/cm³) = 10.67
- Fermi-level density of states (states/eV per atom) = 0.945
- magnetization (μB per cell) = 0.00
- E above lowest polymorph (eV per formula unit) = 0.89

=====

11.
La2DyTl2 after structural relaxation, computed with PBE.

Cell: 8.2831 8.2831 4.7659 Å, 90.00 90.00 90.00°
Fractional positions:
La 0.1686 0.3314 0.0000
La 0.3314 0.8314 0.0000
La 0.6686 0.1686 0.0000
La 0.8314 0.6686 0.0000
Dy 0.0000 0.0000 0.5000
Dy 0.5000 0.5000 0.5000
Tl 0.1319 0.6319 0.5000
Tl 0.3681 0.1319 0.5000
Tl 0.6319 0.8681 0.5000
Tl 0.8681 0.3681 0.5000

- E_form (eV/atom) = -0.33
- ρ (g/cm³) = 8.62
- Fermi-level density of states (states/eV per atom) = 1.493
- magnetization (μB per cell) = 0.00
- E above lowest polymorph (eV per formula unit) = 0.00

=====

12.
La9Dy2Tl after structural relaxation, computed with PBE.

Cell: 5.1443 5.1443 15.6549 Å, 90.00 90.00 90.00°
Fractional positions:
La 0.0000 0.0000 0.0000
La 0.0000 0.0000 0.3338
La 0.0000 0.0000 0.6662
La 0.0000 0.5000 0.1633
La 0.0000 0.5000 0.5000
La 0.0000 0.5000 0.8367
La 0.5000 0.0000 0.1633
La 0.5000 0.0000 0.5000
La 0.5000 0.0000 0.8367
Dy 0.5000 0.5000 0.3314
Dy 0.5000 0.5000 0.6686
Tl 0.5000 0.5000 0.0000

- E_form (eV/atom) = -0.06
- ρ (g/cm³) = 7.13
- Fermi-level density of states (states/eV per atom) = 1.299
- magnetization (μB per cell) = 0.00

=====

13.
LaDyTl4 after structural relaxation, computed with PBE.

Cell: 3.9151 5.0871 8.7889 Å, 90.00 90.14 90.00°
Fractional positions:
La 0.0000 0.0000 0.0000
Dy 0.9919 0.5000 0.5052
Tl 0.3540 0.0000 0.6606
Tl 0.3721 0.5000 0.1781
Tl 0.6101 0.5000 0.8311
Tl 0.6502 0.0000 0.3398

- E_form (eV/atom) = -0.27
- ρ (g/cm³) = 10.61
- Fermi-level density of states (states/eV per atom) = 0.499
- magnetization (μB per cell) = 0.00
- E above lowest polymorph (eV per formula unit) = 0.00

=====

14.
La2DyTl2 after structural relaxation, computed with PBE.

Cell: 5.0319 7.2457 8.8062 Å, 90.00 90.00 90.00°
Fractional positions:
La 0.0000 0.0000 0.1847
La 0.0000 0.0000 0.8153
La 0.5000 0.5000 0.3153
La 0.5000 0.5000 0.6847
Dy 0.0000 0.5000 0.0000
Dy 0.5000 0.0000 0.5000
Tl 0.0000 0.2748 0.5000
Tl 0.0000 0.7252 0.5000
Tl 0.5000 0.2252 0.0000
Tl 0.5000 0.7748 0.0000

- E_form (eV/atom) = -0.31
- ρ (g/cm³) = 8.78
- Fermi-level density of states (states/eV per atom) = 0.914
- magnetization (μB per cell) = 0.00
- E above lowest polymorph (eV per formula unit) = 0.10

=====

15.
LaDy3Tl after structural relaxation, computed with PBE.

Cell: 9.9215 9.9215 6.5839 Å, 100.53 100.53 83.70°
Fractional positions:
La 0.0367 0.1713 0.4800
La 0.1713 0.0367 0.9800
La 0.8287 0.9633 0.0200
La 0.9633 0.8287 0.5200
Dy 0.0932 0.7053 0.0209
Dy 0.1281 0.4983 0.3642
Dy 0.2342 0.3797 0.8625
Dy 0.2947 0.9068 0.4791
Dy 0.3797 0.2342 0.3625
Dy 0.4983 0.1281 0.8642
Dy 0.5017 0.8719 0.1358
Dy 0.6203 0.7658 0.6375
Dy 0.7053 0.0932 0.5209
Dy 0.7658 0.6203 0.1375
Dy 0.8719 0.5017 0.6358
Dy 0.9068 0.2947 0.9791
Tl 0.3342 0.6658 0.7500
Tl 0.4162 0.5838 0.2500
Tl 0.5838 0.4162 0.7500
Tl 0.6658 0.3342 0.2500

- E_form (eV/atom) = -0.05
- ρ (g/cm³) = 8.84
- Fermi-level density of states (states/eV per atom) = 1.263
- magnetization (μB per cell) = 0.00
- E above lowest polymorph (eV per formula unit) = 0.30

=====

16.
La2Dy2Tl after structural relaxation, computed with PBE.

Cell: 6.7825 6.7825 9.7347 Å, 103.79 103.79 48.55°
Fractional positions:
La 0.0234 0.0234 0.3361
La 0.1627 0.1627 0.0498
La 0.8373 0.8373 0.9502
La 0.9766 0.9766 0.6639
Dy 0.3522 0.3522 0.4429
Dy 0.4804 0.4804 0.1564
Dy 0.5196 0.5196 0.8436
Dy 0.6478 0.6478 0.5571
Tl 0.2547 0.2547 0.7249
Tl 0.7453 0.7453 0.2751

- E_form (eV/atom) = -0.11
- ρ (g/cm³) = 8.27
- Fermi-level density of states (states/eV per atom) = 1.134
- magnetization (μB per cell) = 0.00
- E above lowest polymorph (eV per formula unit) = 0.00

=====

17.
La3Dy5Tl2 after structural relaxation, computed with PBE.

Cell: 10.6822 10.6822 10.6822 Å, 103.57 87.41 144.15°
Fractional positions:
La 0.2381 0.1272 0.3653
La 0.2500 0.2500 0.0000
La 0.2619 0.6272 0.8891
La 0.7381 0.3728 0.1109
La 0.7500 0.7500 0.0000
La 0.7619 0.8728 0.6347
Dy 0.1640 0.3944 0.5585
Dy 0.2500 0.5072 0.2572
Dy 0.2500 0.7500 0.5000
Dy 0.2500 0.9928 0.7428
Dy 0.3360 0.8944 0.2304
Dy 0.6640 0.1056 0.7696
Dy 0.7500 0.0072 0.2572
Dy 0.7500 0.2500 0.5000
Dy 0.7500 0.4928 0.7428
Dy 0.8360 0.6056 0.4415
Tl 0.1453 0.8604 0.0057
Tl 0.3547 0.3604 0.7151
Tl 0.6453 0.6396 0.2849
Tl 0.8547 0.1396 0.9943

- E_form (eV/atom) = 0.04
- ρ (g/cm³) = 8.11
- Fermi-level density of states (states/eV per atom) = 1.489
- magnetization (μB per cell) = 0.00

=====

18.
La2Dy7Tl2 after structural relaxation, computed with PBE.

Cell: 6.4962 6.4962 8.6652 Å, 101.64 101.64 97.31°
Fractional positions:
La 0.1751 0.8249 0.0000
La 0.8249 0.1751 0.0000
Dy 0.0258 0.3847 0.6757
Dy 0.3650 0.3650 0.0923
Dy 0.3847 0.0258 0.6757
Dy 0.5000 0.5000 0.5000
Dy 0.6153 0.9742 0.3243
Dy 0.6350 0.6350 0.9077
Dy 0.9742 0.6153 0.3243
Tl 0.1271 0.1271 0.3459
Tl 0.8729 0.8729 0.6541

- E_form (eV/atom) = -0.07
- ρ (g/cm³) = 8.77
- Fermi-level density of states (states/eV per atom) = 1.191
- magnetization (μB per cell) = 0.00

=====

19.
LaDy5Tl6 after structural relaxation, computed with PBE.

Cell: 9.3817 9.3817 5.4111 Å, 106.69 106.69 120.26°
Fractional positions:
La 0.0000 0.0000 0.0000
Dy 0.1624 0.8376 0.5000
Dy 0.3319 0.6681 0.0000
Dy 0.5000 0.5000 0.5000
Dy 0.6681 0.3319 0.0000
Dy 0.8376 0.1624 0.5000
Tl 0.0858 0.4272 0.2568
Tl 0.2636 0.2636 0.7636
Tl 0.4272 0.0858 0.2568
Tl 0.5728 0.9142 0.7432
Tl 0.7364 0.7364 0.2364
Tl 0.9142 0.5728 0.7432

- E_form (eV/atom) = -0.35
- ρ (g/cm³) = 10.76
- Fermi-level density of states (states/eV per atom) = 0.824
- magnetization (μB per cell) = 0.00

=====

20.
La3DyTl3 after structural relaxation, computed with PBE.

Cell: 9.6955 9.6955 9.6955 Å, 90.00 90.00 90.00°
Fractional positions:
La 0.0684 0.4316 0.5684
La 0.1699 0.8301 0.3301
La 0.1756 0.1756 0.1756
La 0.3244 0.8244 0.6756
La 0.3301 0.1699 0.8301
La 0.4316 0.5684 0.0684
La 0.5684 0.0684 0.4316
La 0.6699 0.6699 0.6699
La 0.6756 0.3244 0.8244
La 0.8244 0.6756 0.3244
La 0.8301 0.3301 0.1699
La 0.9316 0.9316 0.9316
Dy 0.0757 0.5757 0.9243
Dy 0.4243 0.4243 0.4243
Dy 0.5757 0.9243 0.0757
Dy 0.9243 0.0757 0.5757
Tl 0.0035 0.2576 0.8662
Tl 0.1338 0.5035 0.2424
Tl 0.2424 0.1338 0.5035
Tl 0.2576 0.8662 0.0035
Tl 0.3662 0.4965 0.7424
Tl 0.4965 0.7424 0.3662
Tl 0.5035 0.2424 0.1338
Tl 0.6338 0.9965 0.7576
Tl 0.7424 0.3662 0.4965
Tl 0.7576 0.6338 0.9965
Tl 0.8662 0.0035 0.2576
Tl 0.9965 0.7576 0.6338

- E_form (eV/atom) = -0.30
- ρ (g/cm³) = 8.69
- Fermi-level density of states (states/eV per atom) = 1.054
- magnetization (μB per cell) = 0.00
- E above lowest polymorph (eV per formula unit) = 0.00